(1)
Below is a relaxed structure of Tb3IrAu2, with properties calculated at the PBE-GGA level.

Properties
The crystal system is monoclinic. The calculated total energy comes out at -5.637 eV per atom. The calculation puts the energy of formation from the pure elements at -752 meV per atom. For the polymorph energy (0 for the lowest one), the calculation gives 83 meV per atom.

Geometry as CIF:
```
data_Tb3IrAu2
_chemical_formula_sum 'Tb12 Ir4 Au8'
_symmetry_space_group_name_H-M 'C 1 2/c 1'
_symmetry_Int_Tables_number 15
_cell_length_a 13.424
_cell_length_b 5.836
_cell_length_c 8.159
_cell_angle_alpha 90.00
_cell_angle_beta 107.71
_cell_angle_gamma 90.00
loop_
_symmetry_equiv_pos_as_xyz
'x,y,z'
'-x,-y,-z'
'-x,y,-z+1/2'
'x,-y,z+1/2'
'x+1/2,y+1/2,z'
'-x+1/2,-y+1/2,-z'
'-x+1/2,y+1/2,-z+1/2'
'x+1/2,-y+1/2,z+1/2'
loop_
_atom_site_label
_atom_site_type_symbol
_atom_site_fract_x
_atom_site_fract_y
_atom_site_fract_z
Tb1 Tb 0.000 0.001 0.250
Tb2 Tb 0.148 0.499 0.074
Ir1 Ir 0.000 0.499 0.750
Au1 Au 0.175 0.001 0.587
```

***

(2)
Below is a relaxed structure of Tb5IrAu2, with properties calculated at the PBE-GGA level.

Properties
The crystal system is orthorhombic. The calculated total energy comes out at -5.534 eV per atom. The calculation puts the energy of formation from the pure elements at -713 meV per atom.

Geometry as CIF:
```
data_Tb5IrAu2
_chemical_formula_sum 'Tb10 Ir2 Au4'
_symmetry_space_group_name_H-M 'P b a m'
_symmetry_Int_Tables_number 55
_cell_length_a 7.350
_cell_length_b 11.760
_cell_length_c 4.759
_cell_angle_alpha 90.00
_cell_angle_beta 90.00
_cell_angle_gamma 90.00
loop_
_symmetry_equiv_pos_as_xyz
'x,y,z'
'-x,-y,-z'
'-x,-y,z'
'x,y,-z'
'x+1/2,-y+1/2,-z'
'-x+1/2,y+1/2,z'
'-x+1/2,y+1/2,-z'
'x+1/2,-y+1/2,z'
loop_
_atom_site_label
_atom_site_type_symbol
_atom_site_fract_x
_atom_site_fract_y
_atom_site_fract_z
Tb1 Tb 0.000 0.000 0.000
Tb2 Tb 0.155 0.293 0.000
Tb3 Tb 0.179 0.585 0.500
Ir1 Ir 0.000 0.500 0.000
Au1 Au 0.066 0.836 0.500
```

***

(3)
Below is a relaxed structure of Tb12IrAu6, with properties calculated at the PBE-GGA level.

Properties
The crystal system is trigonal. The calculated total energy comes out at -4.950 eV per atom. The calculation puts the energy of formation from the pure elements at -524 meV per atom.

Geometry as CIF:
```
data_Tb12IrAu6
_chemical_formula_sum 'Tb36 Ir3 Au18'
_symmetry_space_group_name_H-M 'R -3'
_symmetry_Int_Tables_number 148
_symmetry_space_group_name_Hall '-R 3'
_cell_length_a 12.7211
_cell_length_b 12.7211
_cell_length_c 12.1525
_cell_angle_alpha 90.00
_cell_angle_beta 90.00
_cell_angle_gamma 120.00
loop_
_atom_site_label
_atom_site_type_symbol
_atom_site_fract_x
_atom_site_fract_y
_atom_site_fract_z
Tb1 Tb 0.0305 0.2137 0.3959
Tb2 Tb 0.0474 0.2026 0.8843
Ir1 Ir 0.0000 0.0000 0.0000
Au1 Au 0.0476 0.2690 0.6463
```

***

(4)
Below is a relaxed structure of Tb7Ir2Au2, with properties calculated at the PBE-GGA level.

Properties
The crystal system is orthorhombic. The calculated total energy comes out at -5.712 eV per atom. The calculation puts the energy of formation from the pure elements at -559 meV per atom.

Geometry as CIF:
```
data_Tb7Ir2Au2
_chemical_formula_sum 'Tb14 Ir4 Au4'
_symmetry_space_group_name_H-M 'C m m m'
_symmetry_Int_Tables_number 65
_symmetry_space_group_name_Hall '-C 2 2'
_cell_length_a 8.078
_cell_length_b 10.722
_cell_length_c 7.067
_cell_angle_alpha 90.00
_cell_angle_beta 90.00
_cell_angle_gamma 90.00
loop_
_atom_site_label
_atom_site_type_symbol
_atom_site_fract_x
_atom_site_fract_y
_atom_site_fract_z
Tb1 Tb 0.000 0.000 0.000
Tb2 Tb 0.000 0.500 0.250
Tb3 Tb 0.250 0.250 0.256
Ir1 Ir 0.000 0.286 0.000
Au1 Au 0.197 0.000 0.500
```

***

(5)
Below is a relaxed structure of Tb4IrAu, with properties calculated at the PBE-GGA level.

Properties
The crystal system is orthorhombic. The calculated total energy comes out at -5.728 eV per atom. The calculation puts the energy of formation from the pure elements at -618 meV per atom. For the polymorph energy (0 for the lowest one), the calculation gives 0 meV per atom.

Geometry as CIF:
```
data_Tb4IrAu
_chemical_formula_sum 'Tb16 Ir4 Au4'
_symmetry_space_group_name_H-M 'P n m a'
_symmetry_Int_Tables_number 62
_cell_length_a 8.433
_cell_length_b 4.766
_cell_length_c 15.746
_cell_angle_alpha 90.00
_cell_angle_beta 90.00
_cell_angle_gamma 90.00
loop_
_symmetry_equiv_pos_as_xyz
'x,y,z'
'-x,-y,-z'
'-x+1/2,-y,z+1/2'
'x+1/2,y,-z+1/2'
'x+1/2,-y+1/2,-z+1/2'
'-x+1/2,y+1/2,z+1/2'
'-x,y+1/2,-z'
'x,-y+1/2,z'
loop_
_atom_site_label
_atom_site_type_symbol
_atom_site_fract_x
_atom_site_fract_y
_atom_site_fract_z
Tb1 Tb 0.037 0.250 0.079
Tb2 Tb 0.086 0.250 0.776
Tb3 Tb 0.133 0.250 0.336
Tb4 Tb 0.149 0.250 0.567
Ir1 Ir 0.189 0.750 0.684
Au1 Au 0.233 0.750 0.439
```

***

(6)
Below is a relaxed structure of Tb6Te3Ir2Au, with properties calculated at the PBE-GGA level.

Properties
The formation energy without anion corrections is -1077 meV/atom. The crystal system is monoclinic. The calculated total energy comes out at -5.928 eV per atom.

Geometry as CIF:
```
data_Tb6Te3Ir2Au
_chemical_formula_sum 'Tb12 Te6 Ir4 Au2'
_symmetry_space_group_name_H-M 'C 1 2/m 1'
_symmetry_Int_Tables_number 12
_cell_length_a 7.250
_cell_length_b 12.537
_cell_length_c 7.707
_cell_angle_alpha 90.00
_cell_angle_beta 108.18
_cell_angle_gamma 90.00
loop_
_symmetry_equiv_pos_as_xyz
'x,y,z'
'-x,-y,-z'
'-x,y,-z'
'x,-y,z'
'x+1/2,y+1/2,z'
'-x+1/2,-y+1/2,-z'
'-x+1/2,y+1/2,-z'
'x+1/2,-y+1/2,z'
loop_
_atom_site_label
_atom_site_type_symbol
_atom_site_fract_x
_atom_site_fract_y
_atom_site_fract_z
Tb1 Tb 0.214 0.000 0.208
Tb2 Tb 0.249 0.322 0.213
Te1 Te 0.000 0.000 0.500
Te2 Te 0.000 0.340 0.500
Ir1 Ir 0.000 0.168 0.000
Au1 Au 0.000 0.500 0.000
```

***

(7)
Below is a relaxed structure of TbTmIrAu, with properties calculated at the PBE-GGA level.

Properties
The crystal system is cubic. The calculated total energy comes out at -6.153 eV per atom. The calculation puts the energy of formation from the pure elements at -843 meV per atom. For the polymorph energy (0 for the lowest one), the calculation gives 15 meV per atom.

Geometry as CIF:
```
data_TbTmIrAu
_chemical_formula_sum 'Tb4 Tm4 Ir4 Au4'
_symmetry_space_group_name_H-M 'F -4 3 m'
_symmetry_Int_Tables_number 216
_symmetry_space_group_name_Hall 'F -4 2 3'
_cell_length_a 6.995
_cell_length_b 6.995
_cell_length_c 6.995
_cell_angle_alpha 90.00
_cell_angle_beta 90.00
_cell_angle_gamma 90.00
loop_
_atom_site_label
_atom_site_type_symbol
_atom_site_fract_x
_atom_site_fract_y
_atom_site_fract_z
Tb1 Tb 0.000 0.000 0.000
Tm1 Tm 0.000 0.000 0.500
Ir1 Ir 0.250 0.250 0.750
Au1 Au 0.250 0.250 0.250
```

***

(8)
Below is a relaxed structure of TbTmIrAu, with properties calculated at the PBE-GGA level.

Properties
The crystal system is tetragonal. The calculated total energy comes out at -6.168 eV per atom. The calculation puts the energy of formation from the pure elements at -858 meV per atom. For the polymorph energy (0 for the lowest one), the calculation gives 0 meV per atom.

Geometry as CIF:
```
data_TbTmIrAu
_chemical_formula_sum 'Tb1 Tm1 Ir1 Au1'
_symmetry_space_group_name_H-M 'P 4 m m'
_symmetry_Int_Tables_number 99
_cell_length_a 3.501
_cell_length_b 3.501
_cell_length_c 7.023
_cell_angle_alpha 90.00
_cell_angle_beta 90.00
_cell_angle_gamma 90.00
loop_
_symmetry_equiv_pos_as_xyz
'x,y,z'
'-y,x,z'
'-x,-y,z'
'y,-x,z'
'-x,y,z'
'y,x,z'
'x,-y,z'
'-y,-x,z'
loop_
_atom_site_label
_atom_site_type_symbol
_atom_site_fract_x
_atom_site_fract_y
_atom_site_fract_z
Tb1 Tb 0.000 0.000 0.000
Tm1 Tm 0.000 0.000 0.466
Ir1 Ir 0.500 0.500 0.238
Au1 Au 0.500 0.500 0.723
```

***

(9)
Below is a relaxed structure of TbYIrAu, with properties calculated at the PBE-GGA level.

Properties
The crystal system is cubic. The calculated total energy comes out at -6.618 eV per atom. The calculation puts the energy of formation from the pure elements at -810 meV per atom.

Geometry as CIF:
```
data_TbYIrAu
_chemical_formula_sum 'Tb4 Y4 Ir4 Au4'
_symmetry_space_group_name_H-M 'F -4 3 m'
_symmetry_Int_Tables_number 216
_symmetry_space_group_name_Hall 'F -4 2 3'
_cell_length_a 7.048
_cell_length_b 7.048
_cell_length_c 7.048
_cell_angle_alpha 90.00
_cell_angle_beta 90.00
_cell_angle_gamma 90.00
loop_
_atom_site_label
_atom_site_type_symbol
_atom_site_fract_x
_atom_site_fract_y
_atom_site_fract_z
Tb1 Tb 0.000 0.000 0.000
Y1 Y 0.000 0.000 0.500
Ir1 Ir 0.250 0.250 0.250
Au1 Au 0.250 0.250 0.750
```

***

(10)
Below is a relaxed structure of TbZrIrAu, with properties calculated at the PBE-GGA level.

Properties
The crystal system is cubic. The calculated total energy comes out at -6.985 eV per atom. The calculation puts the energy of formation from the pure elements at -656 meV per atom.

Geometry as CIF:
```
data_TbZrIrAu
_chemical_formula_sum 'Tb4 Zr4 Ir4 Au4'
_symmetry_space_group_name_H-M 'F -4 3 m'
_symmetry_Int_Tables_number 216
_symmetry_space_group_name_Hall 'F -4 2 3'
_cell_length_a 6.893
_cell_length_b 6.893
_cell_length_c 6.893
_cell_angle_alpha 90.00
_cell_angle_beta 90.00
_cell_angle_gamma 90.00
loop_
_atom_site_label
_atom_site_type_symbol
_atom_site_fract_x
_atom_site_fract_y
_atom_site_fract_z
Tb1 Tb 0.000 0.000 0.000
Zr1 Zr 0.000 0.000 0.500
Ir1 Ir 0.250 0.250 0.750
Au1 Au 0.250 0.250 0.250
```

***

(11)
Below is a relaxed structure of Tc4IrAu, with properties calculated at the PBE-GGA level.

Properties
The crystal system is cubic. The calculated total energy comes out at -8.472 eV per atom. The calculation puts the energy of formation from the pure elements at 461 meV per atom.

Geometry as CIF:
```
data_Tc4IrAu
_chemical_formula_sum 'Tc16 Ir4 Au4'
_symmetry_space_group_name_H-M 'F -4 3 m'
_symmetry_Int_Tables_number 216
_symmetry_space_group_name_Hall 'F -4 2 3'
_cell_length_a 7.222
_cell_length_b 7.222
_cell_length_c 7.222
_cell_angle_alpha 90.00
_cell_angle_beta 90.00
_cell_angle_gamma 90.00
loop_
_atom_site_label
_atom_site_type_symbol
_atom_site_fract_x
_atom_site_fract_y
_atom_site_fract_z
Tc1 Tc 0.125 0.125 0.125
Ir1 Ir 0.250 0.250 0.750
Au1 Au 0.000 0.000 0.500
```

***

(12)
Below is a relaxed structure of TcIrAu2, with properties calculated at the PBE-GGA level.

Properties
The crystal system is tetragonal. The calculated total energy comes out at -5.525 eV per atom. The calculation puts the energy of formation from the pure elements at 920 meV per atom. For the polymorph energy (0 for the lowest one), the calculation gives 845 meV per atom.

Geometry as CIF:
```
data_TcIrAu2
_chemical_formula_sum 'Tc4 Ir4 Au8'
_symmetry_space_group_name_H-M 'I -4 2 d'
_symmetry_Int_Tables_number 122
_symmetry_space_group_name_Hall 'I -4 2bw'
_cell_length_a 7.413
_cell_length_b 7.413
_cell_length_c 5.251
_cell_angle_alpha 90.00
_cell_angle_beta 90.00
_cell_angle_gamma 90.00
loop_
_atom_site_label
_atom_site_type_symbol
_atom_site_fract_x
_atom_site_fract_y
_atom_site_fract_z
Tc1 Tc 0.000 0.000 0.000
Ir1 Ir 0.000 0.000 0.500
Au1 Au 0.249 0.250 0.625
```